The following is a DFT calculation (PBE) of crystalline Rb2MnVCl6 at its relaxed geometry.

The formation energy (no corrections) is -1333 meV per atom. Its offset from the most stable computed form is 1.18 eV per formula unit. The uncorrected energy is -4.463 eV/atom. The value obtained for the calculated volume is 493.44 Å³ per cell. The value obtained for the total magnetization is 8.00 μB per cell.

The space group is I4/mmm (No. 139) and the conventional cell measures 7.366, 7.366 and 9.094 Å, with angles of 90.00, 90.00 and 90.00 degrees. The distinct sites, in fractional coordinates, are Rb at (0.000, 0.500, 0.250), Mn at (0.000, 0.000, 0.000), V at (0.000, 0.000, 0.500), Cl at (0.000, 0.000, 0.247) and Cl at (0.241, 0.241, 0.500).